No. 1
This record from Alexandria via LeMat-Bulk describes an optimized crystal structure of TbDyEr6. The functional is PBE-GGA.

## Properties
- DFT total energy: -4.352 eV/atom

Structure (extended XYZ):
```
8
Lattice="-3.308 0.462 5.789 -3.116 -1.242 -5.781 7.215 -5.684 0.957" Properties=species:S:1:pos:R:3 pbc="T T T"
Er -0.932 -2.161 -2.509
Er 1.814 -5.113 -2.029
Er -3.025 -2.008 0.246
Er 3.815 -4.456 0.720
Er 1.723 -4.303 3.474
Er -1.024 -1.350 2.994
Dy 0.000 0.000 0.000
Tb 0.395 -3.232 0.483
```



No. 2
This record from Alexandria via LeMat-Bulk describes an optimized crystal structure of Tb7Dy2Er. The functional is PBE-GGA.

## Properties
- DFT total energy: -4.565 eV/atom

Structure (extended XYZ):
```
10
Lattice="5.118 1.577 -0.872 2.798 7.498 -3.787 -1.271 -0.017 9.362" Properties=species:S:1:pos:R:3 pbc="T T T"
Tb 4.635 5.979 4.244
Tb 5.964 7.621 -1.875
Tb 2.009 3.079 0.458
Tb 0.680 1.436 6.578
Tb 5.169 3.064 2.097
Tb 3.958 4.537 -2.329
Tb 1.476 5.993 2.606
Er 0.000 0.000 0.000
Dy 4.008 6.029 0.648
Dy 2.636 3.028 4.054
```



No. 3
This record from Alexandria via LeMat-Bulk describes an optimized crystal structure of TbDyEr3. The functional is PBE-GGA.

## Properties
- DFT total energy: -4.261 eV/atom

Structure (extended XYZ):
```
10
Lattice="-1.738 -0.692 3.058 0.538 -7.616 -3.518 9.999 -1.738 5.289" Properties=species:S:1:pos:R:3 pbc="T T T"
Er 8.624 -3.788 7.197
Er 1.801 -7.000 0.487
Er 6.998 -3.045 4.342
Er 0.175 -6.257 -2.368
Er 5.160 -7.124 0.269
Er 3.639 -2.922 4.560
Dy 7.756 -5.341 2.155
Dy 1.042 -4.705 2.675
Tb 6.774 -8.441 2.993
Tb 2.025 -1.604 1.836
```



Number 1: magnetization 0.0 μB per cell, formation energy from the elements 22 kJ per mole of atoms. Number 2: magnetization 0.0 μB per cell, formation energy from the elements 5 kJ per mole of atoms. Number 3: magnetization 0.0 μB per cell, formation energy from the elements 31 kJ per mole of atoms.